{"formula": "SnSbC3", "functional": "PBE", "state": "optimized geometry", "cell": [[4.313, 0.000, 0.000], [0.000, 4.313, 0.000], [0.000, 0.000, 4.313]], "species": ["Sn", "Sb", "C", "C", "C"], "fractional_positions": [[0.000, 0.000, 0.000], [0.500, 0.500, 0.500], [0.000, 0.500, 0.500], [0.500, 0.000, 0.500], [0.500, 0.500, 0.000]], "energy_ev_per_atom": -4.54, "space_group": "No. 221", "m_tot_mub_per_cell": 1.04, "crystal_system": "cubic", "raw_formation_energy_ev_per_atom": 2.622}